Entry 1:
Below is crystalline Hf2Zr2Pd at its relaxed geometry, with properties calculated at the PBE-GGA level. Values from VASP.

Quantum ESPRESSO input file:
```
&SYSTEM
  ibrav = 0, nat = 10, ntyp = 3
/
ATOMIC_SPECIES
Hf 178.49 Hf.upf
Zr 91.22 Zr.upf
Pd 106.42 Pd.upf
CELL_PARAMETERS angstrom
-0.1896 -3.7521 -5.8434
-3.8362 -4.8161 3.2169
-3.8628 2.2119 -1.2949
ATOMIC_POSITIONS crystal
Hf 0.6501 0.1501 0.0000
Hf 0.8499 0.6501 0.0000
Hf 0.3499 0.8499 0.0000
Hf 0.1501 0.3499 0.0000
Zr 0.8483 0.3483 0.5000
Zr 0.1517 0.6517 0.5000
Zr 0.3483 0.1517 0.5000
Zr 0.6517 0.8483 0.5000
Pd 0.5000 0.5000 0.0000
Pd 0.0000 0.0000 0.0000
```

Computed properties:
**Energy above the most stable polymorph in this dataset**: 207 meV/atom

---

Entry 2:
Below is crystalline HfZrPd5 at its relaxed geometry, with properties calculated at the PBE-GGA level. Values from VASP.

Quantum ESPRESSO input file:
```
&SYSTEM
  ibrav = 0, nat = 7, ntyp = 3
/
ATOMIC_SPECIES
Pd 106.42 Pd.upf
Zr 91.22 Zr.upf
Hf 178.49 Hf.upf
CELL_PARAMETERS angstrom
-1.0803 -3.7562 -0.7910
3.6122 -1.2729 1.1108
-2.5634 -0.8202 7.3958
ATOMIC_POSITIONS crystal
Pd 0.5000 0.0000 0.2357
Pd 0.5000 0.0000 0.7643
Pd 0.5000 0.5000 0.5000
Pd 0.0000 0.5000 0.2357
Pd 0.0000 0.5000 0.7643
Zr 0.0000 0.0000 0.5000
Hf 0.5000 0.5000 0.0000
```

---

no.,formation enthalpy at 0 K (eV per atom)
1,-0.05
2,-0.63